The following is a DFT calculation (PBE-GGA) of a relaxed RbTaSn2 crystal.

## Properties
- DFT formation energy (eV/atom) = 0.81
- density (g/cm³) = 8.03

a b c (Å): 5.283 5.283 5.283
angles (deg): 60.00 60.00 60.00
Atoms (fractional coordinates):
Rb1 0.000 0.000 0.000
Ta1 0.500 0.500 0.500
Sn1 0.750 0.750 0.750
Sn2 0.250 0.250 0.250

The following is a DFT calculation (PBE-GGA) of a relaxed Mg2Si crystal.

## Properties
- uncorrected formation energy (meV/atom) = 35
- density (g/cm³) = 2.26

a b c (Å): 5.936 5.936 7.401
angles (deg): 89.56 89.56 59.67
Atoms (fractional coordinates):
Si1 0.500 0.500 0.500
Mg1 0.673 0.178 0.822
Si2 0.668 0.668 0.832
Mg2 0.327 0.822 0.178
Si3 0.332 0.332 0.168
Mg3 0.178 0.673 0.822
Mg4 0.822 0.327 0.178
Mg5 0.000 0.500 0.500
Mg6 0.500 0.000 0.500
Mg7 0.172 0.172 0.847
Si4 0.000 0.000 0.500
Mg8 0.828 0.828 0.153

The following is a DFT calculation (PBE-GGA) of a relaxed ZrCdAs2I crystal.

## Properties
- uncorrected formation energy (meV/atom) = 849
- density (g/cm³) = 5.37

a b c (Å): 5.009 5.916 5.009
angles (deg): 90.00 90.00 90.00
Each line ends with the local moment (μB).
Atoms (fractional coordinates):
I1 0.500 0.500 0.500  -0.04
As1 0.500 0.000 0.000  -0.07
Zr1 0.000 0.500 0.000  0.88
As2 0.000 0.000 0.500  -0.06
Cd1 0.000 0.000 0.000  0.01

Number 1: E -4.40 eV/atom. Number 2: E -2.84 eV/atom. Number 3: E -3.21 eV/atom.